First-principles (PBE) data for a relaxed structure of NaZnPtI2, as listed in Alexandria via LeMat-Bulk.

Unit cell a=5.7525 b=5.7525 c=5.1391 alpha=90.00 beta=90.00 gamma=90.00
Fractional coordinates of all 5 atoms:
Na: 0.0000 0.0000 0.0000
Zn: 0.5000 0.5000 0.5000
Pt: 0.0000 0.0000 0.5000
I: 0.0000 0.5000 0.0000
I: 0.5000 0.0000 0.0000

Output
ρ ... 5.25 Mg/m³
Formation energy (no corrections) ... 68.1 kJ per mole of atoms
Raw total energy ... -1.641 eV per atom